# Fe5O8F2

A relaxed structure of Fe5O8F2 (GGA+U, the Alexandria database).

Distance to the lowest polymorph of the same formula: 0 meV/atom
N(E_F): 13.53 states/eV per cell

Cell: 5.5387 4.6701 12.8474 Å, 90.00 101.79 90.00°
Fractional coordinates of all 30 atoms:
Fe  0.0353  0.0000  0.1964
Fe  0.1597  0.4736  0.5960
Fe  0.2465  0.9993  0.9931
Fe  0.3592  0.4505  0.4010
Fe  0.4360  0.9639  0.7933
Fe  0.5640  0.4639  0.2067
Fe  0.6408  0.9505  0.5990
Fe  0.7535  0.4993  0.0069
Fe  0.8403  0.9736  0.4040
Fe  0.9647  0.5000  0.8036
O  0.0029  0.6861  0.9432
O  0.0922  0.2804  0.4601
O  0.1955  0.1764  0.8548
O  0.2048  0.6624  0.7317
O  0.2938  0.2874  0.2616
O  0.3940  0.1621  0.6588
O  0.4089  0.6534  0.5332
O  0.4993  0.2884  0.0644
O  0.5007  0.7884  0.9356
O  0.5911  0.1534  0.4668
O  0.6060  0.6621  0.3412
O  0.7062  0.7874  0.7384
O  0.7952  0.1624  0.2683
O  0.8046  0.6764  0.1452
O  0.9078  0.7804  0.5399
O  0.9971  0.1861  0.0568
F  0.1138  0.7782  0.3407
F  0.3067  0.7893  0.1400
F  0.6933  0.2893  0.8600
F  0.8862  0.2782  0.6593